Entry 1:
! LiLaY2 (SCAN, PBEsol geometry); values from VASP
! energy relative to the lowest polymorph listed for this composition = 0 meV/atom
! electronic total energy = -100.9 eV for the cell shown
! energy of formation = 60 meV/atom
! total magnetization = 0.67 μB/cell
! calculated density = 4.61 g cm⁻³
! crystal system = tetragonal
! Fermi-level density of states = 4.2 states/eV/f.u.
&SYSTEM
  ibrav = 0, nat = 4, ntyp = 3
/
ATOMIC_SPECIES
Li 6.94 Li.upf
La 138.91 La.upf
Y 88.91 Y.upf
CELL_PARAMETERS angstrom
3.615 0.000 0.000
0.000 3.615 0.000
0.000 0.000 8.920
ATOMIC_POSITIONS crystal
Li 0.000 0.000 0.000
La 0.500 0.500 0.764
Y 0.000 0.000 0.482
Y 0.500 0.500 0.215



Entry 2:
! SrNi3Ru (SCAN, PBEsol geometry); values from VASP
! electronic total energy = -93.9 eV for the cell shown
! energy of formation = 2335 meV/atom
! total magnetization = 3.10 μB/cell
! calculated density = 6.73 g cm⁻³
! crystal system = cubic
! Fermi-level density of states = 4.8 states/eV/f.u.
&SYSTEM
  ibrav = 0, nat = 5, ntyp = 3
/
ATOMIC_SPECIES
Sr 87.62 Sr.upf
Ni 58.69 Ni.upf
Ru 101.07 Ru.upf
CELL_PARAMETERS angstrom
4.482 0.000 0.000
0.000 4.482 0.000
0.000 0.000 4.482
ATOMIC_POSITIONS crystal
Sr 0.000 0.000 0.000
Ni 0.000 0.000 0.500
Ni 0.000 0.500 0.000
Ni 0.500 0.000 0.000
Ru 0.500 0.500 0.500



Entry 3:
! Na4Sn3F10 (SCAN, PBEsol geometry); values from VASP
! electronic total energy = -409.4 eV for the cell shown
! total magnetization = 0.00 μB/cell
! calculated density = 3.60 g cm⁻³
! crystal system = monoclinic
! Fermi-level density of states = 0.0 states/eV/f.u.
! uncorrected formation energy = -2.6287 eV/atom
&SYSTEM
  ibrav = 0, nat = 34, ntyp = 3
/
ATOMIC_SPECIES
Na 22.99 Na.upf
Sn 118.71 Sn.upf
F 19.00 F.upf
CELL_PARAMETERS angstrom
6.048 -8.950 0.000
6.048 8.950 0.000
-0.165 0.000 5.444
ATOMIC_POSITIONS crystal
Na 0.048 0.952 0.750
Na 0.057 0.599 0.749
Na 0.156 0.844 0.250
Na 0.401 0.943 0.751
Na 0.599 0.057 0.249
Na 0.844 0.156 0.750
Na 0.943 0.401 0.251
Na 0.952 0.048 0.250
Sn 0.170 0.327 0.837
Sn 0.327 0.170 0.337
Sn 0.345 0.655 0.250
Sn 0.655 0.345 0.750
Sn 0.673 0.830 0.663
Sn 0.830 0.673 0.163
F 0.001 0.756 0.952
F 0.057 0.153 0.612
F 0.068 0.405 0.605
F 0.153 0.057 0.112
F 0.154 0.509 0.062
F 0.222 0.704 0.484
F 0.244 0.999 0.548
F 0.296 0.778 0.016
F 0.405 0.068 0.105
F 0.491 0.846 0.438
F 0.509 0.154 0.562
F 0.595 0.932 0.895
F 0.704 0.222 0.984
F 0.756 0.001 0.452
F 0.778 0.296 0.516
F 0.846 0.491 0.938
F 0.847 0.943 0.888
F 0.932 0.595 0.395
F 0.943 0.847 0.388
F 0.999 0.244 0.048



Entry 4:
! AsIr2Ru (SCAN, PBEsol geometry); values from VASP
! electronic total energy = -196.6 eV for the cell shown
! energy of formation = 147 meV/atom
! total magnetization = 0.00 μB/cell
! calculated density = 16.38 g cm⁻³
! crystal system = trigonal
! Fermi-level density of states = 2.4 states/eV/f.u.
&SYSTEM
  ibrav = 0, nat = 4, ntyp = 3
/
ATOMIC_SPECIES
As 74.92 As.upf
Ir 192.22 Ir.upf
Ru 101.07 Ru.upf
CELL_PARAMETERS angstrom
1.390 0.802 8.492
-1.390 0.802 8.492
0.000 -1.605 8.492
ATOMIC_POSITIONS crystal
As 0.000 0.000 0.000
Ir 0.251 0.251 0.251
Ir 0.749 0.749 0.749
Ru 0.500 0.500 0.500



Entry 5:
! TcHgOs2Br (SCAN, PBEsol geometry); values from VASP
! electronic total energy = -251.3 eV for the cell shown
! total magnetization = 9.09 μB/cell
! calculated density = 9.96 g cm⁻³
! crystal system = tetragonal
! Fermi-level density of states = 3.4 states/eV/f.u.
! uncorrected formation energy = 3.0292 eV/atom
&SYSTEM
  ibrav = 0, nat = 5, ntyp = 4
/
ATOMIC_SPECIES
Tc 98.00 Tc.upf
Hg 200.59 Hg.upf
Os 190.23 Os.upf
Br 79.90 Br.upf
CELL_PARAMETERS angstrom
4.994 0.000 0.000
0.000 4.994 0.000
0.000 0.000 5.071
ATOMIC_POSITIONS crystal
Tc 0.000 0.000 0.000
Hg 0.500 0.500 0.500
Os 0.000 0.500 0.500
Os 0.500 0.000 0.500
Br 0.500 0.500 0.000



Entry 6:
! CsCrCl3 (SCAN, PBEsol geometry); values from VASP
! energy relative to the lowest polymorph listed for this composition = 0 meV/atom
! electronic total energy = -177.9 eV for the cell shown
! total magnetization = 8.00 μB/cell
! calculated density = 3.60 g cm⁻³
! crystal system = monoclinic
! uncorrected formation energy = -1.7663 eV/atom
&SYSTEM
  ibrav = 0, nat = 10, ntyp = 3
/
ATOMIC_SPECIES
Cs 132.91 Cs.upf
Cr 52.00 Cr.upf
Cl 35.45 Cl.upf
CELL_PARAMETERS angstrom
6.195 -3.551 0.000
6.195 3.551 0.000
-0.159 0.000 6.100
ATOMIC_POSITIONS crystal
Cs 0.168 0.168 0.253
Cs 0.832 0.832 0.747
Cr 0.500 0.500 0.000
Cr 0.500 0.500 0.500
Cl 0.188 0.658 0.265
Cl 0.339 0.339 0.785
Cl 0.342 0.812 0.735
Cl 0.658 0.188 0.265
Cl 0.661 0.661 0.215
Cl 0.812 0.342 0.735



Entry 7:
! TiB2Mo (SCAN, PBEsol geometry); values from VASP
! energy relative to the lowest polymorph listed for this composition = 0 meV/atom
! electronic total energy = -69.1 eV for the cell shown
! energy of formation = -838 meV/atom
! total magnetization = 0.00 μB/cell
! calculated density = 6.80 g cm⁻³
! crystal system = orthorhombic
! Fermi-level density of states = 0.6 states/eV/f.u.
&SYSTEM
  ibrav = 0, nat = 4, ntyp = 3
/
ATOMIC_SPECIES
Ti 47.87 Ti.upf
B 10.81 B.upf
Mo 95.94 Mo.upf
CELL_PARAMETERS angstrom
3.062 0.000 0.000
0.000 1.575 4.188
0.000 -1.575 4.188
ATOMIC_POSITIONS crystal
Ti 0.000 0.000 0.000
B 0.000 0.292 0.292
B 0.500 0.412 0.412
Mo 0.500 0.707 0.707



Entry 8:
! TlZnFe2 (SCAN, PBEsol geometry); values from VASP
! energy relative to the lowest polymorph listed for this composition = 0 meV/atom
! electronic total energy = -120.9 eV for the cell shown
! energy of formation = 297 meV/atom
! total magnetization = 5.48 μB/cell
! calculated density = 11.01 g cm⁻³
! crystal system = tetragonal
! Fermi-level density of states = 1.3 states/eV/f.u.
&SYSTEM
  ibrav = 0, nat = 4, ntyp = 3
/
ATOMIC_SPECIES
Tl 204.38 Tl.upf
Zn 65.41 Zn.upf
Fe 55.84 Fe.upf
CELL_PARAMETERS angstrom
-1.906 1.906 3.959
1.906 -1.906 3.959
1.906 1.906 -3.959
ATOMIC_POSITIONS crystal
Tl 0.000 0.000 0.000
Zn 0.500 0.500 0.000
Fe 0.250 0.750 0.500
Fe 0.750 0.250 0.500



Entry 9:
! MgSb2TeI (SCAN, PBEsol geometry); values from VASP
! energy relative to the lowest polymorph listed for this composition = 338 meV/atom
! electronic total energy = -148.4 eV for the cell shown
! total magnetization = 0.00 μB/cell
! calculated density = 4.66 g cm⁻³
! crystal system = tetragonal
! Fermi-level density of states = 5.4 states/eV/f.u.
! uncorrected formation energy = 1.0085 eV/atom
&SYSTEM
  ibrav = 0, nat = 5, ntyp = 4
/
ATOMIC_SPECIES
Mg 24.30 Mg.upf
Sb 121.76 Sb.upf
Te 127.60 Te.upf
I 126.90 I.upf
CELL_PARAMETERS angstrom
5.712 0.000 0.000
0.000 5.712 0.000
0.000 0.000 5.700
ATOMIC_POSITIONS crystal
Mg 0.000 0.000 0.000
Sb 0.000 0.500 0.500
Sb 0.500 0.000 0.500
Te 0.500 0.500 0.000
I 0.500 0.500 0.500



Entry 10:
! InAs3Ir (SCAN, PBEsol geometry); values from VASP
! electronic total energy = -162.3 eV for the cell shown
! energy of formation = 545 meV/atom
! total magnetization = 0.00 μB/cell
! calculated density = 7.73 g cm⁻³
! crystal system = cubic
! Fermi-level density of states = 5.5 states/eV/f.u.
&SYSTEM
  ibrav = 0, nat = 5, ntyp = 3
/
ATOMIC_SPECIES
In 114.82 In.upf
As 74.92 As.upf
Ir 192.22 Ir.upf
CELL_PARAMETERS angstrom
4.851 0.000 0.000
0.000 4.851 0.000
0.000 0.000 4.851
ATOMIC_POSITIONS crystal
In 0.000 0.000 0.000
As 0.000 0.500 0.500
As 0.500 0.000 0.500
As 0.500 0.500 0.000
Ir 0.500 0.500 0.500



Entry 11:
! Mg2SnSb (SCAN, PBEsol geometry); values from VASP
! electronic total energy = -166.4 eV for the cell shown
! total magnetization = 0.00 μB/cell
! calculated density = 4.74 g cm⁻³
! crystal system = tetragonal
! Fermi-level density of states = 3.1 states/eV/f.u.
! uncorrected formation energy = -0.0135 eV/atom
&SYSTEM
  ibrav = 0, nat = 8, ntyp = 3
/
ATOMIC_SPECIES
Mg 24.30 Mg.upf
Sn 118.71 Sn.upf
Sb 121.76 Sb.upf
CELL_PARAMETERS angstrom
-3.996 3.996 3.170
3.996 -3.996 3.170
3.996 3.996 -3.170
ATOMIC_POSITIONS crystal
Mg 0.112 0.125 0.487
Mg 0.375 0.888 0.013
Mg 0.638 0.625 0.513
Mg 0.875 0.362 0.987
Sn 0.250 0.750 0.500
Sn 0.500 0.500 0.000
Sb 0.000 0.000 0.000
Sb 0.750 0.250 0.500



Entry 12:
! TiPPt3 (SCAN, PBEsol geometry); values from VASP
! energy relative to the lowest polymorph listed for this composition = 0 meV/atom
! electronic total energy = -237.4 eV for the cell shown
! energy of formation = -80 meV/atom
! total magnetization = 1.64 μB/cell
! calculated density = 12.57 g cm⁻³
! crystal system = cubic
! Fermi-level density of states = 4.5 states/eV/f.u.
&SYSTEM
  ibrav = 0, nat = 5, ntyp = 3
/
ATOMIC_SPECIES
Ti 47.87 Ti.upf
P 30.97 P.upf
Pt 195.08 Pt.upf
CELL_PARAMETERS angstrom
4.444 0.000 0.000
0.000 4.444 0.000
0.000 0.000 4.444
ATOMIC_POSITIONS crystal
Ti 0.000 0.000 0.000
P 0.500 0.500 0.500
Pt 0.000 0.500 0.500
Pt 0.500 0.000 0.500
Pt 0.500 0.500 0.000